A plane-wave DFT calculation with GGA-PBE was carried out for a relaxed structure of LaSnPIr2.

Unit cell a=4.1785 b=4.1785 c=11.0347 alpha=90.00 beta=90.00 gamma=90.00
Closest atoms and distances in Å follow each position.
Element x y z (fractional)
Ir 0.0000 0.0000 0.0000  4 P 2.49
Ir 0.5000 0.5000 0.0000  4 P 2.49
Ir 0.5000 0.0000 0.3290  1 P 2.28
Ir 0.0000 0.5000 0.6710  1 P 2.28
La 0.0000 0.5000 0.2332  8 Ir 3.14-3.31, 4 P 3.20
La 0.5000 0.0000 0.7668  8 Ir 3.14-3.31, 4 P 3.20
P 0.5000 0.0000 0.1220  5 Ir 2.28-2.49
P 0.0000 0.5000 0.8780  5 Ir 2.28-2.49
Sn 0.0000 0.0000 0.5000  4 Ir 2.81, 4 Sn 2.95
Sn 0.5000 0.5000 0.5000  4 Ir 2.81, 4 Sn 2.95

Properties
* total energy: -7.2386 eV per atom
* excess energy over the best structure of this formula in the dataset: 0.007 eV per atom
* V: 19.3 A^3/atom

A plane-wave DFT calculation with GGA-PBE was carried out for a relaxed structure of K2NbF6.

Unit cell a=6.3208 b=6.3208 c=6.7540 alpha=91.15 beta=91.15 gamma=119.52
Closest atoms and distances in Å follow each position.
Element x y z (fractional)
F 0.0596 0.8511 0.0501  2 Nb 2.15-2.16
F 0.3112 0.2779 0.2061  1 Nb 2.04
F 0.6078 0.0061 0.2199  1 Nb 2.06
F 0.9939 0.3922 0.2801  1 Nb 2.06
F 0.7221 0.6888 0.2939  1 Nb 2.04
F 0.1489 0.9404 0.4499  2 Nb 2.15-2.16
F 0.8511 0.0596 0.5501  2 Nb 2.15-2.16
F 0.2779 0.3112 0.7061  1 Nb 2.04
F 0.0061 0.6078 0.7199  1 Nb 2.06
F 0.3922 0.9939 0.7801  1 Nb 2.06
F 0.6888 0.7221 0.7939  1 Nb 2.04
F 0.9404 0.1489 0.9499  2 Nb 2.15-2.16
K 0.3216 0.6306 0.0016  9 F 2.56-2.81
K 0.3694 0.6784 0.4984  9 F 2.56-2.81
K 0.6306 0.3216 0.5016  9 F 2.56-2.81
K 0.6784 0.3694 0.9984  9 F 2.56-2.81
Nb 0.9518 0.0482 0.2500  8 F 2.04-2.16
Nb 0.0482 0.9518 0.7500  8 F 2.04-2.16

Properties
* total energy: -5.5205 eV per atom
* V: 13.0 A^3/atom

A plane-wave DFT calculation with GGA-PBE was carried out for a relaxed structure of Ta4B3S.

Unit cell a=3.3026 b=3.3026 c=22.1706 alpha=90.00 beta=90.00 gamma=120.00
Closest atoms and distances in Å follow each position.
Element x y z (fractional)
B 0.0000 0.0000 0.0000  6 Ta 2.30
B 0.6667 0.3333 0.1176  6 Ta 2.25-2.32
B 0.6667 0.3333 0.3824  6 Ta 2.25-2.32
B 0.0000 0.0000 0.5000  6 Ta 2.30
B 0.3333 0.6667 0.6176  6 Ta 2.25-2.32
B 0.3333 0.6667 0.8824  6 Ta 2.25-2.32
S 0.3333 0.6667 0.2500  6 Ta 2.59
S 0.6667 0.3333 0.7500  6 Ta 2.59
Ta 0.3333 0.6667 0.0580  6 B 2.30-2.32
Ta 0.0000 0.0000 0.1711  3 B 2.25
Ta 0.0000 0.0000 0.3289  3 B 2.25
Ta 0.3333 0.6667 0.4420  6 B 2.30-2.32
Ta 0.6667 0.3333 0.5580  6 B 2.30-2.32
Ta 0.0000 0.0000 0.6711  3 B 2.25
Ta 0.0000 0.0000 0.8289  3 B 2.25
Ta 0.6667 0.3333 0.9420  6 B 2.30-2.32

Properties
* total energy: -9.6647 eV per atom
* V: 13.1 A^3/atom

A plane-wave DFT calculation with GGA-PBE was carried out for a relaxed structure of NbTe2.

Unit cell a=7.5717 b=7.5717 c=7.5717 alpha=28.22 beta=28.22 gamma=28.22
Closest atoms and distances in Å follow each position.
Element x y z (fractional)
Nb 0.9994 0.9994 0.9994  6 Te 2.82
Te 0.5813 0.5813 0.5813  3 Nb 2.82
Te 0.7506 0.7506 0.7506  3 Nb 2.82

Properties
* total energy: -5.8979 eV per atom
* V: 28.6 A^3/atom

A plane-wave DFT calculation with GGA-PBE was carried out for a relaxed structure of DyNiSn.

Unit cell a=7.1638 b=4.5126 c=7.6056 alpha=90.00 beta=90.00 gamma=90.00
Closest atoms and distances in Å follow each position.
Element x y z (fractional)
Dy 0.5157 0.7500 0.2035  4 Ni 2.98-3.23, 6 Sn 3.12-3.23
Dy 0.0157 0.7500 0.2965  4 Ni 2.98-3.23, 6 Sn 3.12-3.23
Dy 0.9843 0.2500 0.7035  4 Ni 2.98-3.23, 6 Sn 3.12-3.23
Dy 0.4843 0.2500 0.7965  4 Ni 2.98-3.23, 6 Sn 3.12-3.23
Ni 0.1951 0.2500 0.0791  4 Sn 2.60-2.77
Ni 0.6951 0.2500 0.4209  4 Sn 2.60-2.77
Ni 0.3049 0.7500 0.5791  4 Sn 2.60-2.77
Ni 0.8049 0.7500 0.9209  4 Sn 2.60-2.77
Sn 0.8080 0.2500 0.0913  4 Ni 2.60-2.77
Sn 0.3080 0.2500 0.4087  4 Ni 2.60-2.77
Sn 0.6920 0.7500 0.5913  4 Ni 2.60-2.77
Sn 0.1920 0.7500 0.9087  4 Ni 2.60-2.77

Properties
* total energy: -5.4033 eV per atom
* V: 20.5 A^3/atom

A plane-wave DFT calculation with GGA-PBE was carried out for a relaxed structure of Rb2LiHoBr6.

Unit cell a=7.8098 b=7.8098 c=7.8098 alpha=120.38 beta=120.38 gamma=89.35
Closest atoms and distances in Å follow each position.
Element x y z (fractional)
Br 0.2496 0.2496 0.0000  1 Li 2.77, 1 Ho 2.78
Br 0.7504 0.7504 0.0000  1 Li 2.77, 1 Ho 2.78
Br 0.2807 0.7830 0.0637  1 Li 2.76, 1 Ho 2.78
Br 0.2170 0.2807 0.4978  1 Li 2.76, 1 Ho 2.78
Br 0.7830 0.7193 0.5022  1 Li 2.76, 1 Ho 2.78
Br 0.7193 0.2170 0.9363  1 Li 2.76, 1 Ho 2.78
Ho 0.5000 0.5000 0.0000  6 Br 2.78
Li 0.0000 0.0000 0.0000  6 Br 2.76-2.77
Rb 0.7500 0.2500 0.5000  8 Br 3.67-3.88
Rb 0.2500 0.7500 0.5000  8 Br 3.67-3.88

Properties
* total energy: -3.6260 eV per atom
* V: 33.5 A^3/atom